An optimized crystal structure of Na3Ni2GeO6, computed with PBE with a Hubbard U.

## Properties
- Total magnetization: 3.0 μB/cell
- Energy: -60.61 eV per formula unit
- ρ: 4.7 Mg/m³

abc: 5.194 5.194 5.640
angles: 99.18 99.18 119.40
Fractional positions:
Na1 0.000 0.000 0.000
Na2 0.329 0.671 0.000
Na3 0.671 0.329 0.000
Ni1 0.167 0.833 0.500
Ni2 0.833 0.167 0.500
Ge1 0.500 0.500 0.500
O1 0.122 0.437 0.301
O2 0.250 0.250 0.696
O3 0.437 0.122 0.301
O4 0.563 0.878 0.699
O5 0.750 0.750 0.304
O6 0.878 0.563 0.699